i:
An optimized crystal structure of LiNiBr, computed with PBE.

Cell and atoms, written as extended XYZ:
```
3
Lattice="4.0022 -0.6984 -0.0477 1.6279 -2.6670 2.5971 1.4263 -3.5518 -1.3632" Properties=species:S:1:pos:R:3 pbc="T T T"
Ni 3.5282 -3.4586 0.5931
Br 5.2924 -5.1878 0.8897
Li 1.7641 -1.7293 0.2966
```

Values from the calculation:
volume = 15.8 Å³ per atom
magnetic moment = 0.00 μB per cell
mass density = 5.10 g/cm³
crystal system = cubic

***

ii:
An optimized crystal structure of LiNiBr, computed with PBE.

Cell and atoms, written as extended XYZ:
```
6
Lattice="-1.0103 -0.6915 3.8328 0.7029 -3.0867 -2.4835 7.1822 0.0982 1.9108" Properties=species:S:1:pos:R:3 pbc="T T T"
Ni 1.9274 -2.2637 0.0996
Ni 4.9474 -1.4162 3.1605
Br 5.5185 -2.2147 1.0550
Br 1.3563 -1.4653 2.2051
Li 0.0000 0.0000 0.0000
Li 3.5911 0.0491 0.9554
```

Values from the calculation:
volume = 17.4 Å³ per atom
magnetic moment = 0.00 μB per cell
mass density = 4.64 g/cm³
crystal system = hexagonal

***

The relative energies come out as i 5.7; ii 0.0, with values in kJ/mol of atoms.

***

i:
An optimized crystal structure of LiPtI, computed with PBE.

Cell and atoms, written as extended XYZ:
```
6
Lattice="-3.4064 -3.4828 0.2337 3.3607 -5.5865 -1.4148 0.9104 -0.5883 4.4795" Properties=species:S:1:pos:R:3 pbc="T T T"
I 1.2301 -2.8408 -0.1567
I 1.2021 -8.3219 1.4979
Pt 0.2057 -5.2649 -0.2586
Pt 2.2317 -5.9028 1.6167
Li 2.5592 -6.5173 -0.9022
Li -0.0804 -4.5982 2.2576
```

Values from the calculation:
volume = 24.3 Å³ per atom
magnetic moment = 0.00 μB per cell
mass density = 7.50 g/cm³
crystal system = triclinic

***

ii:
An optimized crystal structure of LiPtI, computed with PBE.

Cell and atoms, written as extended XYZ:
```
6
Lattice="5.3353 0.0000 0.0155 0.0000 3.8281 0.0000 -0.3004 0.0000 7.9215" Properties=species:S:1:pos:R:3 pbc="T T T"
I 2.8703 0.0000 2.2460
I 0.4146 1.9140 5.4585
Pt 3.9427 1.9140 0.6975
Pt 4.6895 0.0000 7.1362
Li 3.0414 1.9140 6.1881
Li 1.1996 1.9140 0.5965
```

Values from the calculation:
volume = 27.0 Å³ per atom
magnetic moment = 0.00 μB per cell
mass density = 6.75 g/cm³
crystal system = monoclinic

***

The relative energies come out as i 17.3; ii 0.0, with values in kJ/mol of atoms.

***

i:
An optimized crystal structure of TlSiRu2, computed with PBE.

Cell and atoms, written as extended XYZ:
```
4
Lattice="4.5193 0.0000 0.0000 2.2596 3.9138 0.0000 2.2596 1.3046 3.6900" Properties=species:S:1:pos:R:3 pbc="T T T"
Ru 0.0000 0.0000 0.0000
Ru 6.7789 3.9138 2.7675
Si 4.5193 2.6092 1.8450
Tl 2.2596 1.3046 0.9225
```

Values from the calculation:
volume = 16.3 Å³ per atom
magnetic moment = 0.00 μB per cell
mass density = 11.06 g/cm³
crystal system = cubic

***

ii:
An optimized crystal structure of TlSiRu2, computed with PBE.

Cell and atoms, written as extended XYZ:
```
4
Lattice="3.0618 0.0000 0.0000 0.0000 5.0832 0.0000 0.0000 0.0000 4.2339" Properties=species:S:1:pos:R:3 pbc="T T T"
Ru 0.0000 0.0000 0.0000
Ru 1.5309 2.5416 0.0000
Si 1.5309 0.0000 2.1169
Tl 0.0000 2.5416 2.1169
```

Values from the calculation:
volume = 16.5 Å³ per atom
magnetic moment = 0.00 μB per cell
mass density = 10.95 g/cm³
crystal system = orthorhombic

***

The relative energies come out as i 13.5; ii 0.0, with values in kJ/mol of atoms.

***

i:
An optimized crystal structure of CoSb2W, computed with PBE.

Cell and atoms, written as extended XYZ:
```
8
Lattice="6.0785 0.0000 0.0000 0.0000 6.0785 0.0000 3.0393 3.0393 5.5406" Properties=species:S:1:pos:R:3 pbc="T T T"
Sb 4.3905 1.5196 1.3852
Sb 1.6880 4.5589 1.3852
Sb 4.5589 4.7273 4.1555
Sb 7.5982 7.4298 4.1555
Co 3.0393 3.0393 0.0000
Co 3.0393 6.0785 2.7703
W 0.0000 0.0000 0.0000
W 6.0785 3.0393 2.7703
```

Values from the calculation:
volume = 25.6 Å³ per atom
magnetic moment = 1.65 μB per cell
mass density = 7.89 g/cm³
crystal system = tetragonal

***

ii:
An optimized crystal structure of CoSb2W, computed with PBE.

Cell and atoms, written as extended XYZ:
```
4
Lattice="5.4873 0.0190 0.0000 2.6994 4.7775 0.0000 -4.0934 -2.3982 2.7576" Properties=species:S:1:pos:R:3 pbc="T T T"
Co 2.7437 0.0095 1.3788
Sb 0.0000 0.0000 0.0000
Sb 1.3497 2.3888 1.3788
W 4.0934 2.3982 0.0000
```

Values from the calculation:
volume = 18.0 Å³ per atom
magnetic moment = 0.65 μB per cell
mass density = 11.19 g/cm³
crystal system = tetragonal

***

The relative energies come out as i 25.8; ii 0.0, with values in kJ/mol of atoms.

***

i:
An optimized crystal structure of TaIn2Au, computed with PBE.

Cell and atoms, written as extended XYZ:
```
4
Lattice="-1.4480 1.6915 -2.0192 0.9342 -1.8246 -2.1984 -7.6366 -5.2299 1.0953" Properties=species:S:1:pos:R:3 pbc="T T T"
Au -5.7892 -3.8553 -1.3153
In -7.4923 -5.1310 1.0746
In -2.3982 -1.5330 -1.8017
Ta -3.9256 -2.6884 0.5630
```

Values from the calculation:
volume = 21.1 Å³ per atom
magnetic moment = 0.00 μB per cell
mass density = 11.98 g/cm³
crystal system = tetragonal

***

ii:
An optimized crystal structure of TaIn2Au, computed with PBE.

Cell and atoms, written as extended XYZ:
```
4
Lattice="-4.0713 0.7300 4.0020 -3.6421 -2.2688 3.8356 2.0074 0.0185 4.8459" Properties=species:S:1:pos:R:3 pbc="T T T"
Au -1.4154 -0.3519 2.6917
In -7.4831 -1.5217 8.1229
In -4.5656 -1.1657 9.2327
Ta -2.8081 -0.7800 6.8157
```

Values from the calculation:
volume = 20.4 Å³ per atom
magnetic moment = 0.00 μB per cell
mass density = 12.38 g/cm³
crystal system = monoclinic

***

The relative energies come out as i 3.6; ii 0.0, with values in kJ/mol of atoms.